1.
## TaZnRe (GGA-PBE)

Data for a geometry-optimized TaZnRe structure.

DFT formation energy = 1.7 eV per formula unit
total energy = -7.942 eV per atom
crystal system = cubic
DOS(E_F) = 2.0 states/eV per cell

Lattice parameters (Å, degrees): 4.3273 4.3273 4.3273 60.00 60.00 60.00
Fractional positions:
Re (0.7500, 0.7500, 0.7500)
Ta (0.0000, 0.0000, 0.0000)
Zn (0.5000, 0.5000, 0.5000)

---

2.
## TaZn4Re (GGA-PBE)

Data for a geometry-optimized TaZn4Re structure.

DFT formation energy = -0.1 eV per formula unit
total energy = -4.914 eV per atom
crystal system = cubic
DOS(E_F) = 1.6 states/eV per cell

Lattice parameters (Å, degrees): 4.9335 4.9335 4.9335 60.00 60.00 60.00
Fractional positions:
Ta (0.0000, 0.0000, 0.0000)
Zn (0.3752, 0.8745, 0.3752)
Zn (0.8745, 0.3752, 0.3752)
Zn (0.3752, 0.3752, 0.8745)
Zn (0.3752, 0.3752, 0.3752)
Re (0.7500, 0.7500, 0.7500)

---

3.
## TaZnRe (GGA-PBE)

Data for a geometry-optimized TaZnRe structure.

DFT formation energy = 0.7 eV per formula unit
total energy = -8.288 eV per atom
crystal system = tetragonal
DOS(E_F) = 2.4 states/eV per cell

Lattice parameters (Å, degrees): 6.6889 6.6889 6.6889 156.50 156.50 33.47
Fractional positions:
Re (0.0065, 0.0065, 0.0000)
Ta (0.3306, 0.3306, 0.0000)
Zn (0.6629, 0.6629, 0.0000)

---

4.
## Ta2ZnRe (GGA-PBE)

Data for a geometry-optimized Ta2ZnRe structure.

DFT formation energy = 0.6 eV per formula unit
total energy = -9.202 eV per atom
crystal system = cubic
DOS(E_F) = 4.2 states/eV per cell

Lattice parameters (Å, degrees): 4.5213 4.5213 4.5213 60.00 60.00 60.00
Fractional positions:
Re (0.5000, 0.5000, 0.5000)
Ta (0.0000, 0.0000, 0.0000)
Ta (0.2500, 0.2500, 0.2500)
Zn (0.7500, 0.7500, 0.7500)